1.
This record from Alexandria describes a geometry-optimized Sr3In2Sb4 structure. The functional is PBE-GGA.

Calculated values
energy relative to the elements, uncorrected: -6.35 eV/f.u.
energy above the lowest structure with this stoichiometry: 0 meV per atom
space group: Pnnm, No. 58
volume: 34.9 Å³ per atom

Cell lengths 4.8339, 7.2922, 17.8392 Å; angles 90.00, 90.00, 90.00 degrees
With the nearest neighbours (Å) after each atom.
Element x y z (fractional)
1 Sr 0.0000 0.2918 0.8036  5 Sb 3.32-3.55
2 Sr 0.5000 0.7918 0.6964  5 Sb 3.32-3.55
3 Sr 0.0000 0.7082 0.1964  5 Sb 3.32-3.55
4 Sr 0.5000 0.2082 0.3036  5 Sb 3.32-3.55
5 Sr 0.0000 0.0000 0.0000  6 Sb 3.28-3.45
6 Sr 0.5000 0.5000 0.5000  6 Sb 3.28-3.45
7 In 0.0000 0.8565 0.4121  4 Sb 2.88-2.98
8 In 0.5000 0.3565 0.0879  4 Sb 2.88-2.98
9 In 0.0000 0.1435 0.5879  4 Sb 2.88-2.98
10 In 0.5000 0.6435 0.9121  4 Sb 2.88-2.98
11 Sb 0.5000 0.2510 0.9299  2 In 2.88-2.92
12 Sb 0.5000 0.7490 0.0701  2 In 2.88-2.92
13 Sb 0.0000 0.2254 0.1699  2 In 2.98
14 Sb 0.0000 0.2490 0.4299  2 In 2.88-2.92
15 Sb 0.5000 0.7254 0.3301  2 In 2.98
16 Sb 0.0000 0.7746 0.8301  2 In 2.98
17 Sb 0.0000 0.7510 0.5701  2 In 2.88-2.92
18 Sb 0.5000 0.2746 0.6699  2 In 2.98

***

2.
This record from Alexandria describes a geometry-optimized Li2ZnReN structure. The functional is PBE-GGA.

Calculated values
energy relative to the elements, uncorrected: -0.60 eV/f.u.
space group: P4/mmm, No. 123
volume: 12.1 Å³ per atom

Cell lengths 3.9051, 3.9051, 3.9559 Å; angles 90.00, 90.00, 90.00 degrees
With the nearest neighbours (Å) after each atom.
Element x y z (fractional)
1 Re 0.0000 0.0000 0.5000  2 N 1.98
2 Zn 0.5000 0.5000 0.5000  4 Re 2.76, 8 Li 2.78
3 Li 0.0000 0.5000 0.0000  2 N 1.95
4 Li 0.5000 0.0000 0.0000  2 N 1.95
5 N 0.0000 0.0000 0.0000  4 Li 1.95, 2 Re 1.98

***

3.
This record from Alexandria describes a geometry-optimized K3BiTe2 structure. The functional is PBE-GGA.

Calculated values
energy relative to the elements, uncorrected: -3.86 eV/f.u.
space group: Ibam, No. 72
volume: 38.9 Å³ per atom

Cell lengths 7.2285, 6.7286, 10.7874 Å; angles 108.17, 109.58, 90.00 degrees
With the nearest neighbours (Å) after each atom.
Element x y z (fractional)
1 K 0.4180 0.6801 0.3601  5 Te 3.50-3.84
2 K 0.5820 0.3199 0.6399  5 Te 3.50-3.84
3 K 0.0579 0.8199 0.6399  5 Te 3.50-3.84
4 K 0.9421 0.1801 0.3601  5 Te 3.50-3.84
5 K 0.5000 0.7500 0.0000  2 K 3.36, 4 Te 3.53, 2 Bi 3.61
6 K 0.5000 0.2500 0.0000  2 K 3.36, 4 Te 3.53, 2 Bi 3.61
7 Bi 0.0000 0.2500 0.0000  2 Bi 3.36, 4 Te 3.51, 2 K 3.61
8 Bi 0.0000 0.7500 0.0000  2 Bi 3.36, 4 Te 3.51, 2 K 3.61
9 Te 0.3779 0.1306 0.2612  7 K 3.50-3.84, 2 Bi 3.51
10 Te 0.6221 0.8694 0.7388  7 K 3.50-3.84, 2 Bi 3.51
11 Te 0.1167 0.3694 0.7388  7 K 3.50-3.84, 2 Bi 3.51
12 Te 0.8833 0.6306 0.2612  7 K 3.50-3.84, 2 Bi 3.51

***

4.
This record from Alexandria describes a geometry-optimized ZrTcOs2W structure. The functional is PBE-GGA.

Calculated values
formation enthalpy at 0 K: 2.569 eV/atom
space group: P4/mmm, No. 123
volume: 20.4 Å³ per atom

Cell lengths 4.7076, 4.6124, 4.7076 Å; angles 90.00, 90.00, 90.00 degrees
With the nearest neighbours (Å) after each atom.
Element x y z (fractional)
1 Zr 0.0000 0.0000 0.0000  2 Tc 2.31, 4 Os 2.35
2 Os 0.0000 0.0000 0.5000  2 Zr 2.35
3 Os 0.5000 0.0000 0.0000  2 Zr 2.35
4 Tc 0.0000 0.5000 0.0000  2 Zr 2.31
5 W 0.5000 0.5000 0.5000  8 Os 3.30, 4 Tc 3.33

***

5.
This record from Alexandria describes a geometry-optimized La4SbAs2Se structure. The functional is PBE-GGA.

Calculated values
energy relative to the elements, uncorrected: -13.07 eV/f.u.
space group: P2/m, No. 10
volume: 30.7 Å³ per atom

Cell lengths 4.4214, 7.6884, 7.6475 Å; angles 70.65, 90.00, 90.00 degrees
With the nearest neighbours (Å) after each atom.
Element x y z (fractional)
1 La 0.0000 0.7628 0.7422  3 As 3.07-3.10, 1 Se 3.16, 2 Sb 3.20
2 La 0.0000 0.2372 0.2578  3 As 3.07-3.10, 1 Se 3.16, 2 Sb 3.20
3 La 0.5000 0.7615 0.2488  3 As 3.06-3.09, 2 Se 3.17, 1 Sb 3.19
4 La 0.5000 0.2385 0.7512  3 As 3.06-3.09, 2 Se 3.17, 1 Sb 3.19
5 Sb 0.5000 0.5000 0.0000  6 La 3.19-3.20
6 As 0.0000 0.0000 0.0000  6 La 3.09-3.10
7 As 0.5000 0.0000 0.5000  6 La 3.06-3.07
8 Se 0.0000 0.5000 0.5000  6 La 3.16-3.17

***

6.
This record from Alexandria describes a geometry-optimized Ac2Ga12Rh structure. The functional is PBE-GGA.

Calculated values
formation enthalpy at 0 K: -0.446 eV/atom
space group: P4/nbm, No. 125
volume: 20.7 Å³ per atom

Cell lengths 6.2436, 6.2436, 15.9354 Å; angles 90.00, 90.00, 90.00 degrees
With the nearest neighbours (Å) after each atom.
Element x y z (fractional)
1 Ac 0.5000 0.0000 0.2438  14 Ga 3.26-3.52
2 Ac 0.0000 0.5000 0.2438  14 Ga 3.26-3.52
3 Ac 0.0000 0.5000 0.7562  14 Ga 3.26-3.52
4 Ac 0.5000 0.0000 0.7562  14 Ga 3.26-3.52
5 Ga 0.5000 0.5000 0.8162  5 Ga 2.59-2.72
6 Ga 0.0000 0.0000 0.8162  5 Ga 2.59-2.72
7 Ga 0.7500 0.7500 0.9157  2 Rh 2.58, 3 Ga 2.69-2.72
8 Ga 0.2500 0.7500 0.9157  2 Rh 2.58, 3 Ga 2.69-2.72
9 Ga 0.0000 0.0000 0.3461  5 Ga 2.59-2.68
10 Ga 0.2500 0.7500 0.0843  2 Rh 2.58, 3 Ga 2.69-2.72
11 Ga 0.8247 0.3247 0.5679  3 Ga 2.53-2.68
12 Ga 0.5000 0.5000 0.3461  5 Ga 2.59-2.68
13 Ga 0.2500 0.2500 0.9157  2 Rh 2.58, 3 Ga 2.69-2.72
14 Ga 0.7500 0.7500 0.0843  2 Rh 2.58, 3 Ga 2.69-2.72
15 Ga 0.3247 0.1753 0.5679  3 Ga 2.53-2.68
16 Ga 0.6753 0.1753 0.4321  3 Ga 2.53-2.68
17 Ga 0.0000 0.0000 0.6539  5 Ga 2.59-2.68
18 Ga 0.1753 0.3247 0.4321  3 Ga 2.53-2.68
19 Ga 0.2500 0.2500 0.0843  2 Rh 2.58, 3 Ga 2.69-2.72
20 Ga 0.8247 0.6753 0.4321  3 Ga 2.53-2.68
21 Ga 0.6753 0.8247 0.5679  3 Ga 2.53-2.68
22 Ga 0.0000 0.0000 0.1838  5 Ga 2.59-2.72
23 Ga 0.1753 0.6753 0.5679  3 Ga 2.53-2.68
24 Ga 0.5000 0.5000 0.6539  5 Ga 2.59-2.68
25 Ga 0.7500 0.2500 0.9157  2 Rh 2.58, 3 Ga 2.69-2.72
26 Ga 0.5000 0.5000 0.1838  5 Ga 2.59-2.72
27 Ga 0.3247 0.8247 0.4321  3 Ga 2.53-2.68
28 Ga 0.7500 0.2500 0.0843  2 Rh 2.58, 3 Ga 2.69-2.72
29 Rh 0.5000 0.0000 0.0000  8 Ga 2.58
30 Rh 0.0000 0.5000 0.0000  8 Ga 2.58

***

7.
This record from Alexandria describes a geometry-optimized CsCdSnBi structure. The functional is PBE-GGA.

Calculated values
formation enthalpy at 0 K: -0.132 eV/atom
space group: P4/nmm, No. 129
volume: 40.1 Å³ per atom

Cell lengths 4.4985, 4.4985, 15.8601 Å; angles 90.00, 90.00, 90.00 degrees
With the nearest neighbours (Å) after each atom.
Element x y z (fractional)
1 Cs 0.7500 0.7500 0.2746  4 Bi 3.96, 4 Sn 4.22
2 Cs 0.2500 0.2500 0.7254  4 Bi 3.96, 4 Sn 4.22
3 Cd 0.7500 0.2500 0.0000  4 Bi 3.01, 4 Cd 3.18
4 Cd 0.2500 0.7500 0.0000  4 Bi 3.01, 4 Cd 3.18
5 Sn 0.2500 0.7500 0.5000  4 Sn 3.18
6 Sn 0.7500 0.2500 0.5000  4 Sn 3.18
7 Bi 0.7500 0.7500 0.8740  4 Cd 3.01
8 Bi 0.2500 0.2500 0.1260  4 Cd 3.01

***

8.
This record from Alexandria describes a geometry-optimized Tb2AlAg3 structure. The functional is PBE-GGA.

Calculated values
energy above the lowest structure with this stoichiometry: 0 meV per atom
formation enthalpy at 0 K: -0.314 eV/atom
space group: Fmmm, No. 69
volume: 22.1 Å³ per atom

Cell lengths 5.8193, 5.8193, 8.9138 Å; angles 103.07, 103.07, 107.88 degrees
With the nearest neighbours (Å) after each atom.
Element x y z (fractional)
1 Tb 0.2500 0.7500 0.5000  8 Ag 3.19-3.21, 4 Al 3.21, 2 Tb 3.43
2 Tb 0.7545 0.7545 0.0000  10 Ag 3.19-3.28, 2 Al 3.25, 2 Tb 3.36-3.49
3 Tb 0.7500 0.2500 0.5000  8 Ag 3.19-3.21, 4 Al 3.21, 2 Tb 3.43
4 Tb 0.2455 0.2455 0.0000  10 Ag 3.19-3.28, 2 Al 3.25, 2 Tb 3.36-3.49
5 Al 0.6670 0.6670 0.3340  3 Ag 2.65-2.66
6 Al 0.3330 0.3330 0.6660  3 Ag 2.65-2.66
7 Ag 0.3432 0.8270 0.1701  1 Al 2.65, 2 Ag 2.80-2.81
8 Ag 0.1730 0.6568 0.8299  1 Al 2.65, 2 Ag 2.80-2.81
9 Ag 0.6568 0.1730 0.8299  1 Al 2.65, 2 Ag 2.80-2.81
10 Ag 0.8270 0.3432 0.1701  1 Al 2.65, 2 Ag 2.80-2.81
11 Ag 0.1712 0.1712 0.3424  1 Al 2.66, 2 Ag 2.81
12 Ag 0.8288 0.8288 0.6576  1 Al 2.66, 2 Ag 2.81

***

9.
This record from Alexandria describes a geometry-optimized Sr2YTa structure. The functional is PBE-GGA.

Calculated values
energy above the lowest structure with this stoichiometry: 409 meV per atom
formation enthalpy at 0 K: 0.960 eV/atom
space group: P4/mmm, No. 123
volume: 33.8 Å³ per atom

Cell lengths 4.2124, 4.2124, 7.6258 Å; angles 90.00, 90.00, 90.00 degrees
With the nearest neighbours (Å) after each atom.
Element x y z (fractional)
1 Sr 0.0000 0.0000 0.0283  1 Sr 3.38, 4 Ta 3.43, 4 Y 3.66
2 Sr 0.0000 0.0000 0.4717  1 Sr 3.38, 4 Ta 3.43, 4 Y 3.66
3 Ta 0.5000 0.5000 0.2500  8 Sr 3.43, 2 Y 3.81
4 Y 0.5000 0.5000 0.7500  8 Sr 3.66, 2 Ta 3.81

***

10.
This record from Alexandria describes a geometry-optimized Rb6CaI8 structure. The functional is PBE-GGA.

Calculated values
energy relative to the elements, uncorrected: -22.50 eV/f.u.
space group: R-3, No. 148
volume: 49.4 Å³ per atom

Cell lengths 9.5838, 9.5838, 9.5838 Å; angles 69.12, 69.12, 69.12 degrees
With the nearest neighbours (Å) after each atom.
Element x y z (fractional)
1 Rb 0.0595 0.4831 0.6957  7 I 3.72-4.00
2 Rb 0.3043 0.9405 0.5169  7 I 3.72-4.00
3 Rb 0.5169 0.3043 0.9405  7 I 3.72-4.00
4 Rb 0.4831 0.6957 0.0595  7 I 3.72-4.00
5 Rb 0.6957 0.0595 0.4831  7 I 3.72-4.00
6 Rb 0.9405 0.5169 0.3043  7 I 3.72-4.00
7 Ca 0.0000 0.0000 0.0000  6 I 3.18
8 I 0.1612 0.6818 0.9050  1 Ca 3.18
9 I 0.0950 0.8388 0.3182  1 Ca 3.18
10 I 0.3182 0.0950 0.8388  1 Ca 3.18
11 I 0.6568 0.6568 0.6568  6 Rb 3.72-3.83
12 I 0.3432 0.3432 0.3432  6 Rb 3.72-3.83
13 I 0.6818 0.9050 0.1612  1 Ca 3.18
14 I 0.9050 0.1612 0.6818  1 Ca 3.18
15 I 0.8388 0.3182 0.0950  1 Ca 3.18

***

11.
This record from Alexandria describes a geometry-optimized La2InRuC structure. The functional is PBE-GGA.

Calculated values
formation enthalpy at 0 K: -0.309 eV/atom
space group: P4/mmm, No. 123
volume: 23.3 Å³ per atom

Cell lengths 5.4231, 5.4231, 3.9592 Å; angles 90.00, 90.00, 90.00 degrees
With the nearest neighbours (Å) after each atom.
Element x y z (fractional)
1 Ru 0.0000 0.0000 0.5000  2 C 1.98
2 C 0.0000 0.0000 0.0000  2 Ru 1.98
3 In 0.5000 0.5000 0.5000  8 La 3.36
4 La 0.0000 0.5000 0.0000  2 C 2.71
5 La 0.5000 0.0000 0.0000  2 C 2.71

***

12.
This record from Alexandria describes a geometry-optimized GaBiAs2 structure. The functional is PBE-GGA.

Calculated values
energy above the lowest structure with this stoichiometry: 162 meV per atom
formation enthalpy at 0 K: 0.173 eV/atom
space group: R-3m, No. 166
volume: 24.6 Å³ per atom

Cell lengths 3.5033, 3.5033, 9.4798 Å; angles 79.35, 79.35, 60.00 degrees
With the nearest neighbours (Å) after each atom.
Element x y z (fractional)
1 As 0.1074 0.1074 0.6778  3 Ga 2.61
2 As 0.8926 0.8926 0.3222  3 Ga 2.61
3 Bi 0.0000 0.0000 0.0000  2 As 2.98
4 Ga 0.5000 0.5000 0.5000  6 As 2.61